No. 1
Material: AcHo2Pd
Method: DFT, PBE
State: relaxed

- E_tot: -4.95 eV per atom
- Formation enthalpy at 0 K: -0.33 eV per atom
- SG: R3m, No. 160
- Relative energy among the computed polymorphs: 101 meV per atom
- Fermi-level density of states: 1.323 states/eV per atom

```
AcHo2Pd
1.0
4.035 0.000 0.000
2.017 3.494 0.000
2.017 1.165 9.235
Ac Ho Pd
1 2 1
Cartesian
4.035 2.329 4.566 Ac
2.017 1.165 7.684 Ho
2.017 1.165 1.574 Ho
4.035 2.329 0.028 Pd
```

=====

No. 2
Material: SrTa2Tc
Method: DFT, PBE
State: relaxed

- E_tot: -8.36 eV per atom
- Formation enthalpy at 0 K: 0.58 eV per atom
- SG: C2/m, No. 12
- Relative energy among the computed polymorphs: 133 meV per atom
- Fermi-level density of states: 1.001 states/eV per atom

```
SrTa2Tc
1.0
5.494 -0.005 -0.005
4.543 3.089 -0.005
1.711 0.526 5.394
Sr Ta Tc
1 2 1
Cartesian
2.937 0.902 1.346 Sr
2.044 0.628 4.850 Ta
5.542 1.703 3.236 Ta
8.812 2.707 4.039 Tc
```

=====

No. 3
Material: KRuPt2
Method: DFT, PBE
State: relaxed

- E_tot: -5.42 eV per atom
- Formation enthalpy at 0 K: 0.19 eV per atom
- SG: P4/mmm, No. 123
- Relative energy among the computed polymorphs: 39 meV per atom
- Fermi-level density of states: 0.661 states/eV per atom

```
KRuPt2
1.0
-1.184 1.685 1.946
-1.256 -2.248 1.182
7.198 -1.181 5.403
K Ru Pt
1 1 2
Cartesian
-1.220 -0.282 1.564 K
2.379 -0.872 4.266 Ru
2.161 -0.354 1.622 Pt
5.037 -0.826 3.781 Pt
```